Here is a relaxed structure of CuTc2Pt from Alexandria. Energies are from PBE.

POSCAR file:
```
CuTc2Pt
1.0
4.6932 0.0135 -0.0068
3.9295 2.5663 -0.0068
0.6700 0.2005 4.7764
Cu Pt Tc
1 1 2
direct
0.4985 0.4985 0.5079
0.7486 0.7486 0.7331
0.0064 0.0064 0.0194
0.2465 0.2465 0.2396
```

* ΔE_f: 11.8 kJ/mol of formula units
* space-group type: Cm
* total energy: -30.75 eV/cell

***

Here is a relaxed structure of VCuTcPt from Alexandria. Energies are from PBE.

POSCAR file:
```
VCuTcPt
1.0
4.2778 0.0000 0.0000
2.1389 3.7046 0.0000
2.1389 1.2349 3.4928
Cu Tc Pt V
1 1 1 1
direct
0.5000 0.5000 0.5000
0.7500 0.7500 0.7500
0.2500 0.2500 0.2500
0.0000 0.0000 0.0000
```

* ΔE_f: -53.4 kJ/mol of formula units
* space-group type: F-43m
* total energy: -30.17 eV/cell

***

Here is a relaxed structure of CuTePt from Alexandria. Energies are from PBE.

POSCAR file:
```
CuTePt
1.0
4.2295 0.0000 0.0000
-2.1147 2.1289 0.0000
0.0000 0.0000 13.5200
Pt Cu Te
2 2 2
direct
0.5240 0.0480 0.0000
0.0325 0.0649 0.5000
0.5326 0.0651 0.3872
0.5326 0.0651 0.6128
0.5225 0.0450 0.1929
0.5225 0.0450 0.8071
```

* energy relative to the elements, uncorrected: 0.1260 eV/atom
* space-group type: Amm2
* total energy: -25.80 eV/cell

***

Here is a relaxed structure of CuTe2Pt from Alexandria. Energies are from PBE.

POSCAR file:
```
CuTe2Pt
1.0
3.6776 0.0000 0.0000
0.0000 3.6776 0.0000
0.0000 0.0000 6.0563
Cu Pt Te
1 1 2
direct
0.5000 0.5000 0.2500
0.5000 0.5000 0.7500
0.0000 0.0000 0.0000
0.0000 0.0000 0.5000
```

* energy relative to the elements, uncorrected: 0.3030 eV/atom
* space-group type: P4/mmm
* total energy: -15.21 eV/cell

***

Here is a relaxed structure of CuTe2Pt from Alexandria. Energies are from PBE.

POSCAR file:
```
CuTe2Pt
1.0
-6.0771 -0.9133 2.3600
-3.1907 -5.4804 1.7661
5.5779 3.4639 0.4714
Cu Pt Te
1 1 2
direct
0.5000 0.5000 0.0000
0.7500 0.2500 0.5000
0.0000 0.0000 0.0000
0.2500 0.7500 0.5000
```

* energy relative to the elements, uncorrected: 0.2841 eV/atom
* space-group type: I-4m2
* total energy: -15.28 eV/cell

***

Here is a relaxed structure of CuTe3Pt from Alexandria. Energies are from PBE.

POSCAR file:
```
CuTe3Pt
1.0
5.3029 0.0000 0.0000
0.0000 5.3029 0.0000
0.0000 0.0000 5.3029
Te Cu Pt
3 1 1
direct
0.0000 0.5000 0.0000
0.0000 0.0000 0.5000
0.5000 0.0000 0.0000
0.5000 0.5000 0.5000
0.0000 0.0000 0.0000
```

* energy relative to the elements, uncorrected: 0.6804 eV/atom
* space-group type: Pm-3m
* total energy: -16.16 eV/cell

***

Here is a relaxed structure of CuTePt from Alexandria. Energies are from PBE.

POSCAR file:
```
CuTePt
1.0
-3.8516 -0.4466 -0.2154
2.1777 -0.3563 -3.1955
0.4602 -4.3535 0.7990
Cu Pt Te
1 1 1
direct
0.0000 0.0000 0.0254
0.3333 0.6667 0.3158
0.6667 0.3333 0.6588
```

* energy relative to the elements, uncorrected: 0.0739 eV/atom
* space-group type: P3m1
* total energy: -13.06 eV/cell

***

Here is a relaxed structure of CuTePt2 from Alexandria. Energies are from PBE.

POSCAR file:
```
CuTePt2
1.0
6.6865 0.4565 1.2894
-2.6647 3.4005 -0.1233
1.3571 1.1364 3.2099
Cu Pt Te
1 2 1
direct
0.5000 0.5000 0.0000
0.0000 0.0000 0.0000
0.5000 0.0000 0.5000
0.0000 0.5000 0.5000
```

* energy relative to the elements, uncorrected: 0.0404 eV/atom
* space-group type: C2/m
* total energy: -19.16 eV/cell

***

Here is a relaxed structure of CuTe2Pt from Alexandria. Energies are from PBE.

POSCAR file:
```
CuTe2Pt
1.0
-3.7399 -1.4711 -0.0573
-1.1844 -2.6900 2.7415
-3.5492 3.4875 4.7594
Cu Pt Te
1 1 2
direct
0.5056 0.5056 0.4820
0.2420 0.2420 0.2773
0.9748 0.9748 0.0796
0.7776 0.7776 0.6611
```

* energy relative to the elements, uncorrected: -0.1323 eV/atom
* space-group type: Cm
* total energy: -16.95 eV/cell

***

Here is a relaxed structure of CuTe2Pt from Alexandria. Energies are from PBE.

POSCAR file:
```
CuTe2Pt
1.0
-4.8827 1.9424 0.7128
-2.3412 -4.4092 -1.7889
2.9922 1.4866 4.1181
Cu Pt Te
1 1 2
direct
0.7500 0.2500 0.5000
0.2500 0.7500 0.5000
0.0022 0.0022 0.0000
0.4978 0.4978 0.0000
```

* energy relative to the elements, uncorrected: 0.2570 eV/atom
* space-group type: Immm
* total energy: -15.39 eV/cell

***

Here is a relaxed structure of CuTe2Pt from Alexandria. Energies are from PBE.

POSCAR file:
```
CuTe2Pt
1.0
3.7604 -0.0516 0.0000
-1.8612 3.2679 0.0000
0.0000 0.0000 7.7302
Cu Pt Te
1 1 2
direct
0.5000 0.5000 0.2500
0.5000 0.5000 0.7500
0.0000 0.0000 0.9969
0.0000 0.0000 0.5031
```

* energy relative to the elements, uncorrected: 0.2723 eV/atom
* space-group type: Cmmm
* total energy: -15.33 eV/cell

***

Here is a relaxed structure of CuTe2Pt from Alexandria. Energies are from PBE.

POSCAR file:
```
CuTe2Pt
1.0
3.8721 0.0000 0.0000
0.0000 4.8997 0.0204
0.0000 1.1840 4.7503
Cu Pt Te
1 1 2
direct
0.5000 0.2500 0.2500
0.5000 0.7500 0.7500
0.0000 0.9904 0.9904
0.0000 0.5096 0.5096
```

* energy relative to the elements, uncorrected: 0.0185 eV/atom
* space-group type: Cmmm
* total energy: -16.35 eV/cell

***

Here is a relaxed structure of CuTe4Pt from Alexandria. Energies are from PBE.

POSCAR file:
```
CuTe4Pt
1.0
0.0000 4.3460 4.3460
4.3460 0.0000 4.3460
4.3460 4.3460 0.0000
Cu Te Pt
1 4 1
direct
0.7500 0.7500 0.7500
0.8768 0.3744 0.3744
0.3744 0.3744 0.8768
0.3744 0.8768 0.3744
0.3744 0.3744 0.3744
0.0000 0.0000 0.0000
```

* energy relative to the elements, uncorrected: 1.0003 eV/atom
* space-group type: F-43m
* total energy: -16.70 eV/cell

***

Here is a relaxed structure of Cu2Te6Pt from Alexandria. Energies are from PBE.

POSCAR file:
```
Cu2Te6Pt
1.0
5.1947 0.0000 0.0000
0.0000 6.0681 -3.5034
0.0000 0.0000 7.0068
Cu Te Pt
2 6 1
direct
0.5000 0.3333 0.6667
0.5000 0.6667 0.3333
0.2316 0.6689 0.0000
0.2316 0.3311 0.3311
0.2316 0.0000 0.6689
0.7684 0.3311 0.0000
0.7684 0.6689 0.6689
0.7684 0.0000 0.3311
0.5000 0.0000 0.0000
```

* energy relative to the elements, uncorrected: -0.1369 eV/atom
* space-group type: P-31m
* total energy: -34.32 eV/cell

***

Here is a relaxed structure of CuTePt2 from Alexandria. Energies are from PBE.

POSCAR file:
```
CuTePt2
1.0
3.9337 0.0000 0.0000
0.0000 4.1387 0.0000
0.0000 0.0000 4.1387
Cu Pt Te
1 2 1
direct
0.5000 0.0000 0.5000
0.0000 0.0000 0.0000
0.0000 0.5000 0.5000
0.5000 0.5000 0.0000
```

* energy relative to the elements, uncorrected: 0.0449 eV/atom
* space-group type: P4/mmm
* total energy: -19.14 eV/cell

***

Here is a relaxed structure of CuTe2Pt from Alexandria. Energies are from PBE.

POSCAR file:
```
CuTe2Pt
1.0
-0.3416 0.1210 -3.5151
0.0505 -3.5311 -0.1271
-7.3392 -0.1304 0.7087
Cu Pt Te
1 1 2
direct
0.0000 0.0000 0.5319
0.5000 0.5000 0.7255
0.0000 0.0000 0.8897
0.5000 0.5000 0.3529
```

* energy relative to the elements, uncorrected: -0.0165 eV/atom
* space-group type: P4mm
* total energy: -16.49 eV/cell

***

Here is a relaxed structure of CuTePt2 from Alexandria. Energies are from PBE.

POSCAR file:
```
CuTePt2
1.0
-2.7266 -3.8826 1.2020
-0.3576 -2.9324 3.9021
-3.2827 1.4254 2.3784
Cu Pt Te
1 2 1
direct
0.2645 0.2645 0.1962
0.0042 0.0042 0.0484
0.7476 0.7476 0.7161
0.4836 0.4836 0.5393
```

* energy relative to the elements, uncorrected: -0.0062 eV/atom
* space-group type: Cm
* total energy: -19.34 eV/cell

***

Here is a relaxed structure of Cu3Te8Pt3 from Alexandria. Energies are from PBE.

POSCAR file:
```
Cu3Te8Pt3
1.0
-5.8543 -4.4535 2.7235
-0.3370 -7.4867 -2.3151
1.7238 -5.5736 5.2429
Cu Te Pt
3 8 3
direct
0.3850 0.3850 0.3850
0.6150 0.6150 0.6150
0.0000 0.0000 0.0000
0.7588 0.7588 0.7588
0.2221 0.7603 0.7603
0.7603 0.2221 0.7603
0.7603 0.7603 0.2221
0.2412 0.2412 0.2412
0.7779 0.2397 0.2397
0.2397 0.7779 0.2397
0.2397 0.2397 0.7779
0.5000 0.0000 0.0000
0.0000 0.5000 0.0000
0.0000 0.0000 0.5000
```

* energy relative to the elements, uncorrected: -0.2196 eV/atom
* space-group type: R-3m
* total energy: -58.62 eV/cell

***

Here is a relaxed structure of Cu2Te6Pt from Alexandria. Energies are from PBE.

POSCAR file:
```
Cu2Te6Pt
1.0
7.9895 -0.4737 -0.4586
1.6361 7.8739 0.9807
1.6361 1.2353 7.8380
Cu Te Pt
4 12 2
direct
0.1540 0.6592 0.7625
0.3460 0.2375 0.3408
0.8460 0.3408 0.2375
0.6540 0.7625 0.6592
0.4189 0.6576 0.5460
0.0811 0.4540 0.3424
0.5811 0.3424 0.4540
0.9189 0.5460 0.6576
0.8444 0.9632 0.3757
0.6556 0.6243 0.0368
0.1556 0.0368 0.6243
0.3444 0.3757 0.9632
0.0756 0.7873 0.0177
0.4244 0.9823 0.2127
0.9244 0.2127 0.9823
0.5756 0.0177 0.7873
0.2500 0.0787 0.9213
0.7500 0.9213 0.0787
```

* energy relative to the elements, uncorrected: -0.0355 eV/atom
* space-group type: C2/c
* total energy: -66.81 eV/cell

***

Here is a relaxed structure of CuTePt2 from Alexandria. Energies are from PBE.

POSCAR file:
```
CuTePt2
1.0
5.8352 0.0098 0.0061
4.4910 3.7256 0.0061
4.4910 1.6246 3.3528
Cu Pt Te
1 2 1
direct
0.7500 0.7500 0.7500
0.0160 0.0160 0.0160
0.4840 0.4840 0.4840
0.2500 0.2500 0.2500
```

* energy relative to the elements, uncorrected: -0.0126 eV/atom
* space-group type: R-3m
* total energy: -19.37 eV/cell

***

Total magnetization list, top to bottom, in μB per formula unit: 0.00 0.00 0.00 0.00 0.00 0.00 0.00 0.00 0.00 0.00 0.00 0.00 0.00 0.00 0.00 0.00 0.00 0.00 0.00 0.00